Record 1
# SbPbCl2

A relaxed structure of SbPbCl2 (PBE-GGA, the Alexandria database).

Distance to the lowest polymorph of the same formula (eV/atom): 0.417
Energy (Ry per atom): -0.221
Formation energy from raw total energies (eV/atom): -0.1191
Space group: Fm-3m, No. 225

Unit cell a=5.2858 b=5.2858 c=5.2858 alpha=60.00 beta=60.00 gamma=60.00
Sites, in units of the cell vectors:
Pb: 0.5000 0.5000 0.5000
Sb: 0.0000 0.0000 0.0000
Cl: 0.7500 0.7500 0.7500
Cl: 0.2500 0.2500 0.2500



Record 2
# ScMnRe2

A relaxed structure of ScMnRe2 (PBE-GGA, the Alexandria database).

Distance to the lowest polymorph of the same formula (eV/atom): 0.120
Energy (Ry per atom): -0.737
Energy of formation (kJ/mol of formula units): 26
Space group: Pm, No. 6

Unit cell a=4.3867 b=2.7485 c=5.1985 alpha=79.31 beta=90.00 gamma=90.00
Sites, in units of the cell vectors:
Re: 0.5000 0.2303 0.2314
Sc: 0.0000 0.4937 0.5122
Re: 0.0000 0.9961 0.0120
Mn: 0.5000 0.7799 0.7443



Record 3
# SrDyInGa

A relaxed structure of SrDyInGa (PBE-GGA, the Alexandria database).

Energy (Ry per atom): -0.249
Energy of formation (kJ/mol of formula units): -142
Space group: F-43m, No. 216

Unit cell a=5.4091 b=5.4091 c=5.4091 alpha=60.00 beta=60.00 gamma=60.00
Sites, in units of the cell vectors:
Ga: 0.0000 0.0000 0.0000
Dy: 0.2500 0.2500 0.2500
Sr: 0.7500 0.7500 0.7500
In: 0.5000 0.5000 0.5000



Record 4
# BaAlGeRh2

A relaxed structure of BaAlGeRh2 (PBE-GGA, the Alexandria database).

Energy (Ry per atom): -0.331
Energy of formation (kJ/mol of formula units): 237
Space group: P4/mmm, No. 123

Unit cell a=4.6303 b=5.8225 c=4.6303 alpha=90.00 beta=90.00 gamma=90.00
Sites, in units of the cell vectors:
Ge: 0.5000 0.5000 0.5000
Ba: 0.0000 0.5000 0.0000
Rh: 0.0000 0.0000 0.5000
Rh: 0.5000 0.0000 0.0000
Al: 0.0000 0.0000 0.0000



Record 5
# Dy12PtAu6

A relaxed structure of Dy12PtAu6 (PBE-GGA, the Alexandria database).

Energy (Ry per atom): -0.353
Energy of formation (kJ/mol of formula units): -1008
Space group: R-3, No. 148

Unit cell a=8.3892 b=8.3892 c=8.3892 alpha=99.18 beta=99.18 gamma=99.18
Sites, in units of the cell vectors:
Dy: 0.6798 0.9315 0.0477
Dy: 0.5799 0.1803 0.4271
Dy: 0.0685 0.9523 0.3202
Dy: 0.5729 0.4201 0.8197
Au: 0.8658 0.3806 0.6948
Au: 0.1342 0.6194 0.3052
Dy: 0.1803 0.4271 0.5799
Dy: 0.3202 0.0685 0.9523
Au: 0.3806 0.6948 0.8658
Dy: 0.8197 0.5729 0.4201
Au: 0.3052 0.1342 0.6194
Pt: 0.0000 0.0000 0.0000
Dy: 0.9315 0.0477 0.6798
Dy: 0.4201 0.8197 0.5729
Au: 0.6948 0.8658 0.3806
Au: 0.6194 0.3052 0.1342
Dy: 0.4271 0.5799 0.1803
Dy: 0.9523 0.3202 0.0685
Dy: 0.0477 0.6798 0.9315



Record 6
# TlHCl2

A relaxed structure of TlHCl2 (PBE-GGA, the Alexandria database).

Distance to the lowest polymorph of the same formula (eV/atom): 1.007
Energy (Ry per atom): -0.156
Space group: R-3m, No. 166

Unit cell a=8.3067 b=8.3067 c=8.3067 alpha=24.11 beta=24.11 gamma=24.11
Sites, in units of the cell vectors:
Tl: 0.0000 0.0000 0.0000
H: 0.5000 0.5000 0.5000
Cl: 0.8838 0.8838 0.8838
Cl: 0.1162 0.1162 0.1162



Record 7
# Nd6DyIn2

A relaxed structure of Nd6DyIn2 (PBE-GGA, the Alexandria database).

Distance to the lowest polymorph of the same formula (eV/atom): 0.000
Energy (Ry per atom): -0.330
Energy of formation (kJ/mol of formula units): -172
Space group: C2/m, No. 12

Unit cell a=3.8516 b=6.8466 c=12.0246 alpha=74.42 beta=80.78 gamma=73.66
Sites, in units of the cell vectors:
Nd: 0.6929 0.2053 0.4090
Nd: 0.6817 0.5138 0.1229
Nd: 0.9821 0.6969 0.3389
Dy: 0.0000 0.0000 0.0000
Nd: 0.3071 0.7947 0.5910
In: 0.3593 0.0853 0.1961
In: 0.6407 0.9147 0.8039
Nd: 0.3183 0.4862 0.8771
Nd: 0.0179 0.3031 0.6611



Record 8
# Tm2Si4IrRh3

A relaxed structure of Tm2Si4IrRh3 (PBE-GGA, the Alexandria database).

Energy (Ry per atom): -0.529
Formation energy from raw total energies (eV/atom): -1.0452
Space group: P-4m2, No. 115

Unit cell a=4.0916 b=4.0916 c=9.8191 alpha=90.00 beta=90.00 gamma=90.00
Sites, in units of the cell vectors:
Rh: 0.0000 0.0000 0.5000
Rh: 0.5000 0.0000 0.8711
Tm: 0.0000 0.5000 0.7555
Si: 0.0000 0.0000 0.0000
Si: 0.5000 0.0000 0.6316
Si: 0.5000 0.5000 0.0000
Rh: 0.0000 0.5000 0.1289
Si: 0.0000 0.5000 0.3684
Ir: 0.5000 0.5000 0.5000
Tm: 0.5000 0.0000 0.2445



Record 9
# Pm2SiB

A relaxed structure of Pm2SiB (PBE-GGA, the Alexandria database).

Distance to the lowest polymorph of the same formula (eV/atom): 0.000
Energy (Ry per atom): -0.393
Formation energy from raw total energies (eV/atom): 0.0532
Space group: P4/mmm, No. 123

Unit cell a=3.7271 b=4.7694 c=4.7694 alpha=90.00 beta=90.00 gamma=90.00
Sites, in units of the cell vectors:
B: 0.5000 0.0000 0.0000
Pm: 0.0000 0.5000 0.0000
Si: 0.5000 0.5000 0.5000
Pm: 0.0000 0.0000 0.5000



Record 10
# MgNiSnPt2

A relaxed structure of MgNiSnPt2 (PBE-GGA, the Alexandria database).

Energy (Ry per atom): -0.306
Energy of formation (kJ/mol of formula units): 252
Space group: P4/mmm, No. 123

Unit cell a=4.9658 b=4.9658 c=4.6283 alpha=90.00 beta=90.00 gamma=90.00
Sites, in units of the cell vectors:
Sn: 0.0000 0.0000 0.0000
Ni: 0.0000 0.0000 0.5000
Mg: 0.5000 0.5000 0.5000
Pt: 0.5000 0.0000 0.0000
Pt: 0.0000 0.5000 0.0000



Record 11
# TaTi5Al8

A relaxed structure of TaTi5Al8 (PBE-GGA, the Alexandria database).

Energy (Ry per atom): -0.436
Energy of formation (kJ/mol of formula units): -164
Space group: I-4, No. 82

Unit cell a=6.7633 b=6.7633 c=6.7633 alpha=110.25 beta=107.92 gamma=110.25
Sites, in units of the cell vectors:
Ti: 0.5000 0.0000 0.5000
Al: 0.7627 0.2768 0.3590
Ti: 0.9013 0.9275 0.2038
Al: 0.9321 0.0576 0.6368
Ti: 0.0263 0.3026 0.0987
Al: 0.5792 0.9424 0.8744
Al: 0.6410 0.4037 0.9178
Al: 0.0822 0.7232 0.4859
Al: 0.3632 0.2953 0.4208
Ti: 0.7962 0.6974 0.7237
Al: 0.5141 0.5963 0.2373
Al: 0.1256 0.7047 0.0679
Ti: 0.2763 0.0725 0.9737
Ta: 0.2500 0.5000 0.7500



Record 12
# Ho12Rh6Pb

A relaxed structure of Ho12Rh6Pb (PBE-GGA, the Alexandria database).

Energy (Ry per atom): -0.444
Energy of formation (kJ/mol of formula units): -1159
Space group: Im-3, No. 204

Unit cell a=8.5415 b=8.5415 c=8.5415 alpha=109.47 beta=109.47 gamma=109.47
Sites, in units of the cell vectors:
Ho: 0.5080 0.8092 0.6988
Ho: 0.6988 0.5080 0.8092
Rh: 0.5000 0.1296 0.6296
Rh: 0.8704 0.3704 0.5000
Ho: 0.8092 0.3012 0.1104
Ho: 0.8092 0.6988 0.5080
Ho: 0.1908 0.3012 0.4920
Ho: 0.6988 0.8896 0.1908
Ho: 0.8896 0.1908 0.6988
Rh: 0.5000 0.8704 0.3704
Ho: 0.3012 0.1104 0.8092
Rh: 0.6296 0.5000 0.1296
Pb: 0.0000 0.0000 0.0000
Ho: 0.3012 0.4920 0.1908
Ho: 0.1908 0.6988 0.8896
Rh: 0.3704 0.5000 0.8704
Ho: 0.1104 0.8092 0.3012
Ho: 0.4920 0.1908 0.3012
Rh: 0.1296 0.6296 0.5000



Record 13
# Mn4Cu3

A relaxed structure of Mn4Cu3 (PBE-GGA, the Alexandria database).

Distance to the lowest polymorph of the same formula (eV/atom): 0.187
Energy (Ry per atom): -0.493
Energy of formation (kJ/mol of formula units): 194
Space group: P6/mmm, No. 191

Unit cell a=4.7596 b=4.7596 c=4.4906 alpha=90.00 beta=90.00 gamma=120.00
Sites, in units of the cell vectors:
Cu: 0.5000 0.5000 0.0000
Mn: 0.0000 0.0000 0.7294
Mn: 0.3333 0.6667 0.5000
Cu: 0.5000 0.0000 0.0000
Cu: 0.0000 0.5000 0.0000
Mn: 0.6667 0.3333 0.5000
Mn: 0.0000 0.0000 0.2706



Record 14
# CeHfSb2

A relaxed structure of CeHfSb2 (PBE-GGA, the Alexandria database).

Distance to the lowest polymorph of the same formula (eV/atom): 0.660
Energy (Ry per atom): -0.446
Formation energy from raw total energies (eV/atom): -0.0287
Space group: R-3m, No. 166

Unit cell a=3.2734 b=3.2734 c=11.4657 alpha=81.79 beta=81.79 gamma=60.00
Sites, in units of the cell vectors:
Sb: 0.9133 0.9133 0.2600
Sb: 0.0867 0.0867 0.7400
Ce: 0.5000 0.5000 0.5000
Hf: 0.0000 0.0000 0.0000



Record 15
# TmBI

A relaxed structure of TmBI (PBE-GGA, the Alexandria database).

Energy (Ry per atom): -0.358
Formation energy from raw total energies (eV/atom): -0.6322
Space group: Cmcm, No. 63

Unit cell a=3.9107 b=3.4771 c=11.7495 alpha=90.00 beta=99.58 gamma=90.00
Sites, in units of the cell vectors:
Tm: 0.0626 0.7500 0.1252
Tm: 0.9374 0.2500 0.8748
I: 0.1645 0.2500 0.3290
B: 0.5098 0.2500 0.0196
B: 0.4902 0.7500 0.9804
I: 0.8355 0.7500 0.6710



Record 16
# Ba2MnAs

A relaxed structure of Ba2MnAs (PBE-GGA, the Alexandria database).

Energy (Ry per atom): -0.346
Energy of formation (kJ/mol of formula units): -113
Space group: Imm2, No. 44

Unit cell a=7.9700 b=7.9700 c=4.7486 alpha=72.69 beta=72.69 gamma=31.26
Sites, in units of the cell vectors:
Ba: 0.7550 0.7550 0.7451
Ba: 0.9976 0.9976 0.0022
As: 0.1710 0.1710 0.3290
Mn: 0.5764 0.5764 0.4236



Record 17
# TcPtF2

A relaxed structure of TcPtF2 (PBE-GGA, the Alexandria database).

Distance to the lowest polymorph of the same formula (eV/atom): 0.891
Energy (Ry per atom): -0.357
Formation energy from raw total energies (eV/atom): 0.1759
Space group: Fm-3m, No. 225

Unit cell a=4.2679 b=4.2679 c=4.2679 alpha=60.00 beta=60.00 gamma=60.00
Sites, in units of the cell vectors:
F: 0.7500 0.7500 0.7500
Pt: 0.5000 0.5000 0.5000
F: 0.2500 0.2500 0.2500
Tc: 0.0000 0.0000 0.0000



Record 18
# CaTlTc3

A relaxed structure of CaTlTc3 (PBE-GGA, the Alexandria database).

Distance to the lowest polymorph of the same formula (eV/atom): 0.000
Energy (Ry per atom): -0.373
Energy of formation (kJ/mol of formula units): 972
Space group: Pm-3m, No. 221

Unit cell a=5.1457 b=5.1457 c=5.1457 alpha=90.00 beta=90.00 gamma=90.00
Sites, in units of the cell vectors:
Tl: 0.0000 0.0000 0.0000
Tc: 0.5000 0.0000 0.0000
Ca: 0.5000 0.5000 0.5000
Tc: 0.0000 0.0000 0.5000
Tc: 0.0000 0.5000 0.0000



Record 19
# ZrInN2

A relaxed structure of ZrInN2 (PBE-GGA, the Alexandria database).

Energy (Ry per atom): -0.549
Formation energy from raw total energies (eV/atom): -0.4872
Space group: R3m, No. 160

Unit cell a=3.3860 b=3.3860 c=6.2601 alpha=74.31 beta=74.31 gamma=60.00
Sites, in units of the cell vectors:
N: 0.0772 0.0772 0.7683
In: 0.4831 0.4831 0.5508
Zr: 0.6593 0.6593 0.0222
N: 0.2804 0.2804 0.1587



Record 20
# Sr2FeW

A relaxed structure of Sr2FeW (PBE-GGA, the Alexandria database).

Distance to the lowest polymorph of the same formula (eV/atom): 0.903
Energy (Ry per atom): -0.352
Energy of formation (kJ/mol of formula units): 543
Space group: I4/mmm, No. 139

Unit cell a=5.9244 b=5.9244 c=5.9244 alpha=136.68 beta=136.68 gamma=62.93
Sites, in units of the cell vectors:
Sr: 0.0000 0.0000 0.0000
W: 0.2500 0.7500 0.5000
Sr: 0.5000 0.5000 0.0000
Fe: 0.7500 0.2500 0.5000



Record 21
# Na4Nb

A relaxed structure of Na4Nb (PBE-GGA, the Alexandria database).

Energy (Ry per atom): -0.147
Energy of formation (kJ/mol of formula units): 513
Space group: Pm-3m, No. 221

Unit cell a=6.0672 b=6.0672 c=6.0672 alpha=90.00 beta=90.00 gamma=90.00
Sites, in units of the cell vectors:
Na: 0.0000 0.0000 0.0000
Na: 0.5000 0.5000 0.0000
Na: 0.0000 0.5000 0.5000
Na: 0.5000 0.0000 0.5000
Nb: 0.5000 0.5000 0.5000



Record 22
# TbGdCd

A relaxed structure of TbGdCd (PBE-GGA, the Alexandria database).

Distance to the lowest polymorph of the same formula (eV/atom): 0.369
Energy (Ry per atom): -0.460
Energy of formation (kJ/mol of formula units): 82
Space group: I4mm, No. 107

Unit cell a=3.3661 b=3.3661 c=9.2786 alpha=100.45 beta=100.45 gamma=90.00
Sites, in units of the cell vectors:
Tb: 0.7708 0.7708 0.5416
Cd: 0.9492 0.9492 0.8984
Gd: 0.1300 0.1300 0.2600



Record 23
# MgGeRh2

A relaxed structure of MgGeRh2 (PBE-GGA, the Alexandria database).

Distance to the lowest polymorph of the same formula (eV/atom): 0.047
Energy (Ry per atom): -0.427
Energy of formation (kJ/mol of formula units): -224
Space group: P4/mmm, No. 123

Unit cell a=3.0784 b=3.0784 c=6.1735 alpha=90.00 beta=90.00 gamma=90.00
Sites, in units of the cell vectors:
Mg: 0.5000 0.5000 0.5000
Rh: 0.0000 0.0000 0.2306
Rh: 0.0000 0.0000 0.7694
Ge: 0.5000 0.5000 0.0000



Record 24
# Ba4ZrSb

A relaxed structure of Ba4ZrSb (PBE-GGA, the Alexandria database).

Energy (Ry per atom): -0.210
Formation energy from raw total energies (eV/atom): 0.5376
Space group: F-43m, No. 216

Unit cell a=7.1377 b=7.1377 c=7.1377 alpha=60.00 beta=60.00 gamma=60.00
Sites, in units of the cell vectors:
Ba: 0.3757 0.3757 0.3757
Ba: 0.8730 0.3757 0.3757
Sb: 0.7500 0.7500 0.7500
Ba: 0.3757 0.8730 0.3757
Ba: 0.3757 0.3757 0.8730
Zr: 0.0000 0.0000 0.0000



Record 25
# SiPAu

A relaxed structure of SiPAu (PBE-GGA, the Alexandria database).

Distance to the lowest polymorph of the same formula (eV/atom): 0.719
Energy (Ry per atom): -0.307
Formation energy from raw total energies (eV/atom): 0.5202
Space group: P-6m2, No. 187

Unit cell a=4.1842 b=4.1842 c=3.6851 alpha=90.00 beta=90.00 gamma=119.98
Sites, in units of the cell vectors:
Au: 0.6667 0.3333 0.5000
Si: 0.0001 0.9999 0.0000
P: 0.3333 0.6667 0.5000



Record 26
# NdMgSnPt3

A relaxed structure of NdMgSnPt3 (PBE-GGA, the Alexandria database).

Energy (Ry per atom): -0.394
Energy of formation (kJ/mol of formula units): -354
Space group: Cmcm, No. 63

Unit cell a=5.7454 b=5.7550 c=9.1477 alpha=108.33 beta=90.00 gamma=90.00
Sites, in units of the cell vectors:
Pt: 0.5000 0.7634 0.0000
Mg: 0.2500 0.1025 0.2051
Pt: 0.2500 0.2537 0.5073
Pt: 0.0000 0.2366 0.0000
Nd: 0.7500 0.2721 0.5442
Pt: 0.0000 0.7634 0.0000
Sn: 0.2500 0.4059 0.8117
Pt: 0.5000 0.2366 0.0000
Nd: 0.2500 0.7279 0.4558
Sn: 0.7500 0.5941 0.1883
Mg: 0.7500 0.8975 0.7949
Pt: 0.7500 0.7463 0.4927



Record 27
# MgReTc2

A relaxed structure of MgReTc2 (PBE-GGA, the Alexandria database).

Energy (Ry per atom): -0.621
Energy of formation (kJ/mol of formula units): 95
Space group: Pmm2, No. 25

Unit cell a=2.7509 b=4.1731 c=5.2701 alpha=90.00 beta=90.00 gamma=90.00
Sites, in units of the cell vectors:
Tc: 0.5000 0.5000 0.2555
Tc: 0.0000 0.0000 0.9935
Mg: 0.0000 0.0000 0.4947
Re: 0.5000 0.5000 0.7562